First-principles (PBE) data for crystalline ZnInPd2 at its relaxed geometry, as listed in Alexandria.

## Properties
Symmetry: I-42d, No. 122
DOS at the Fermi energy, states/eV/f.u.: 1.15
Final energy, eV/cell: -60.04

a b c (Å): 4.0574 4.0574 17.9206
angles (deg): 90.00 90.00 90.00
With the nearest neighbours (Å) after each atom.
Sites, in units of the cell vectors:
Zn 0.0000 0.0000 0.0000  4 Pd 2.64, 4 In 2.87
Zn 0.0000 0.5000 0.2500  4 Pd 2.64, 4 In 2.87
Zn 0.5000 0.0000 0.7500  4 Pd 2.64, 4 In 2.87
Zn 0.5000 0.5000 0.5000  4 Pd 2.64, 4 In 2.87
In 0.0000 0.0000 0.5000  4 Pd 2.69, 4 Zn 2.87
In 0.0000 0.5000 0.7500  4 Pd 2.69, 4 Zn 2.87
In 0.5000 0.0000 0.2500  4 Pd 2.69, 4 Zn 2.87
In 0.5000 0.5000 0.0000  4 Pd 2.69, 4 Zn 2.87
Pd 0.2340 0.2500 0.1250  2 Zn 2.64, 2 In 2.69, 2 Pd 2.78
Pd 0.2500 0.7340 0.3750  2 Zn 2.64, 2 In 2.69, 2 Pd 2.78
Pd 0.2500 0.7660 0.8750  2 Zn 2.64, 2 In 2.69, 2 Pd 2.78
Pd 0.2660 0.2500 0.6250  2 Zn 2.64, 2 In 2.69, 2 Pd 2.78
Pd 0.7340 0.7500 0.6250  2 Zn 2.64, 2 In 2.69, 2 Pd 2.78
Pd 0.7500 0.2340 0.8750  2 Zn 2.64, 2 In 2.69, 2 Pd 2.78
Pd 0.7500 0.2660 0.3750  2 Zn 2.64, 2 In 2.69, 2 Pd 2.78
Pd 0.7660 0.7500 0.1250  2 Zn 2.64, 2 In 2.69, 2 Pd 2.78